[1]
Entry from Alexandria via LeMat-Bulk: a relaxed structure of Y4NiSe2S (PBE).

Properties
DFT total energy: -54.6 eV per cell
symmetry: P2/m, No. 10
formation energy (no corrections): -1.480 eV per atom

Lattice parameters (Å, degrees): 3.9373 7.0270 7.0776 108.88 90.00 90.00
Closest atoms and distances in Å follow each position.
Sites, in units of the cell vectors:
Y (0.5000, 0.7517, 0.7670)  1 Ni 2.78, 2 S 2.79, 3 Se 2.90-2.96
Y (0.0000, 0.2670, 0.7747)  2 Ni 2.72, 1 S 2.83, 3 Se 2.92-2.97
Y (0.0000, 0.7330, 0.2253)  2 Ni 2.72, 1 S 2.83, 3 Se 2.92-2.97
Y (0.5000, 0.2483, 0.2330)  1 Ni 2.78, 2 S 2.79, 3 Se 2.90-2.96
S (0.0000, 0.0000, 0.0000)  6 Y 2.79-2.83
Se (0.0000, 0.5000, 0.5000)  6 Y 2.90-2.92
Se (0.5000, 0.0000, 0.5000)  6 Y 2.96-2.97
Ni (0.5000, 0.5000, 0.0000)  6 Y 2.72-2.78

[2]
Entry from Alexandria via LeMat-Bulk: a relaxed structure of Cd2OsSe (PBE).

Properties
DFT total energy: -15.7 eV per cell
symmetry: Imm2, No. 44
formation energy (no corrections): 0.213 eV per atom

Lattice parameters (Å, degrees): 6.6923 6.6923 4.6701 69.64 69.64 26.23
Closest atoms and distances in Å follow each position.
Sites, in units of the cell vectors:
Se (0.8233, 0.8233, 0.6768)  2 Os 2.45
Os (0.4814, 0.4814, 0.5182)  2 Se 2.45
Cd (0.1811, 0.1811, 0.3194)  2 Os 2.87, 4 Cd 3.04-3.10
Cd (0.0142, 0.0142, 0.9856)  4 Os 2.81, 4 Cd 3.04-3.10

[3]
Entry from Alexandria via LeMat-Bulk: a relaxed structure of CeBi2Pt (PBE).

Properties
DFT total energy: -19.7 eV per cell
symmetry: R-3m, No. 166
E_form: 0.005 eV per atom

Lattice parameters (Å, degrees): 3.6271 3.6271 10.5603 80.11 80.11 60.00
Closest atoms and distances in Å follow each position.
Sites, in units of the cell vectors:
Pt (0.5000, 0.5000, 0.5000)  6 Bi 2.82
Bi (0.8941, 0.8941, 0.3178)  3 Pt 2.82
Bi (0.1059, 0.1059, 0.6822)  3 Pt 2.82
Ce (0.0000, 0.0000, 0.0000)  2 Bi 3.29, 6 Ce 3.63

Computed values of total moment (unit: μB/f.u.) for the preceding records, in sequence: 0.00 0.00 1.49.